Below is Ta2CuHW after structural relaxation, with properties calculated at the PBE-GGA level.

Results
Offset from the most stable computed form: 0 meV per atom
Space-group type: P4/mmm
D(E_F): 0.400 states/eV per atom
Total magnetization: 0.00 μB/atom

CIF file:
```
data_Ta2CuHW
_chemical_formula_sum 'Ta2 Cu1 H1 W1'
_symmetry_space_group_name_H-M 'P 1'
_symmetry_Int_Tables_number 1
_cell_length_a 4.397
_cell_length_b 4.397
_cell_length_c 3.459
_cell_angle_alpha 90.00
_cell_angle_beta 90.00
_cell_angle_gamma 90.00
loop_
_symmetry_equiv_pos_as_xyz
'x,y,z'
loop_
_atom_site_label
_atom_site_type_symbol
_atom_site_fract_x
_atom_site_fract_y
_atom_site_fract_z
Ta1 Ta 0.000 0.500 0.000
Ta2 Ta 0.500 0.000 0.000
Cu1 Cu 0.000 0.000 0.500
H1 H 0.000 0.000 0.000
W1 W 0.500 0.500 0.500
```